(1)
Entry from Alexandria: crystalline YSc3Al at its relaxed geometry (GGA-PBE).

The space group is Pm-3m (No. 221) and the conventional cell measures 5.167, 5.167 and 5.167 Å, with angles of 90.00, 90.00 and 90.00 degrees. The distinct sites, in fractional coordinates, are Y at (0.000, 0.000, 0.000), Sc at (0.000, 0.000, 0.500) and Al at (0.500, 0.500, 0.500).

As for the formation energy: 1.048 eV per atom.

---

(2)
Entry from Alexandria: crystalline LiYFe2 at its relaxed geometry (GGA-PBE).

The space group is Pmmm (No. 47) and the conventional cell measures 3.838, 3.946 and 4.228 Å, with angles of 90.00, 90.00 and 90.00 degrees. The distinct sites, in fractional coordinates, are Li at (0.000, 0.000, 0.000), Y at (0.500, 0.500, 0.000), Fe at (0.000, 0.500, 0.500) and Fe at (0.500, 0.000, 0.500).

As for the formation energy: 0.338 eV per atom.

---

(3)
Entry from Alexandria: crystalline LiTlHgBi at its relaxed geometry (GGA-PBE).

The space group is F-43m (No. 216) and the conventional cell measures 7.554, 7.554 and 7.554 Å, with angles of 90.00, 90.00 and 90.00 degrees. The distinct sites, in fractional coordinates, are Li at (0.000, 0.000, 0.000), Tl at (0.250, 0.250, 0.250), Hg at (0.250, 0.250, 0.750) and Bi at (0.000, 0.000, 0.500).

As for the formation energy: -0.091 eV per atom.

---

(4)
Entry from Alexandria: crystalline MgRhCl2 at its relaxed geometry (GGA-PBE).

The space group is R-3m (No. 166, hexagonal axes) and the conventional cell measures 3.4712, 3.4712 and 22.8499 Å, with angles of 90.00, 90.00 and 120.00 degrees. The distinct sites, in fractional coordinates, are Mg at (0.0000, 0.0000, 0.0000), Rh at (0.0000, 0.0000, 0.5000) and Cl at (0.0000, 0.0000, 0.3966).

As for the uncorrected formation energy: -52.8 kJ per mole of atoms.

---

| no. | total moment (μB per formula unit) | distance to the lowest polymorph of the same formula (meV/atom) |
| --- | --- | --- |
| 1 | 0.00 | 1107.2 |
| 2 | 3.74 | 191.7 |
| 3 | 0.00 | 88.9 |
| 4 | 1.00 | 111.5 |